[1]
ZnOs after structural relaxation, computed with PBE.

a = 2.765 Å, b = 2.765 Å, c = 8.738 Å
α = 90.00°, β = 90.00°, γ = 120.00°
Fractional coordinates of all 4 atoms:
Zn 0.000 0.000 0.498
Zn 0.333 0.667 0.752
Os 0.000 0.000 0.007
Os 0.333 0.667 0.243

Values from the calculation:
energy of formation from the pure elements	0.0778	eV per atom
space-group type	P-3m1
magnetization	0.000	Bohr magnetons per cell
DOS at the Fermi energy	2.1	states/eV/cell
DFT total energy	-0.2269	hartree per atom



[2]
Cs2YSe2O6 after structural relaxation, computed with PBE.

a = 6.334 Å, b = 5.972 Å, c = 7.639 Å
α = 108.08°, β = 90.00°, γ = 122.03°
Fractional coordinates of all 11 atoms:
O 0.753 0.003 0.284
Se 0.918 0.835 0.750
O 0.744 0.488 0.588
Cs 0.709 0.419 0.152
Y 0.500 0.000 0.500
O 0.256 0.512 0.412
Cs 0.291 0.581 0.848
O 0.250 0.003 0.284
O 0.247 0.997 0.716
O 0.750 0.997 0.716
Se 0.082 0.165 0.250

Values from the calculation:
ΔE_f (raw)	-1.56	eV per atom
space-group type	C2/m
magnetization	0.000	Bohr magnetons per cell
DOS at the Fermi energy	3.0	states/eV/cell
DFT total energy	-0.2072	hartree per atom



[3]
K2SrBiF after structural relaxation, computed with PBE.

a = 5.206 Å, b = 5.206 Å, c = 5.599 Å
α = 90.00°, β = 90.00°, γ = 90.00°
Fractional coordinates of all 5 atoms:
Sr 0.000 0.000 0.500
F 0.000 0.000 0.000
Bi 0.500 0.500 0.500
K 0.500 0.000 0.000
K 0.000 0.500 0.000

Values from the calculation:
ΔE_f (raw)	-1.47	eV per atom
space-group type	P4/mmm
magnetization	0.000	Bohr magnetons per cell
DFT total energy	-0.1249	hartree per atom



[4]
GdTi2N after structural relaxation, computed with PBE.

a = 3.095 Å, b = 3.095 Å, c = 8.444 Å
α = 79.44°, β = 79.44°, γ = 60.00°
Fractional coordinates of all 4 atoms:
N 0.500 0.500 0.500
Ti 0.877 0.877 0.368
Gd 0.000 0.000 0.000
Ti 0.123 0.123 0.632

Values from the calculation:
ΔE_f (raw)	-0.67	eV per atom
space-group type	R-3m
magnetization	7.229	Bohr magnetons per cell
DOS at the Fermi energy	2.9	states/eV/cell
DFT total energy	-0.3755	hartree per atom



The evaluated theoretical density for the records listed, in turn: 14680 4433 4309 6475 kg/m3.